Record 1
! FeSiAs, relaxed, DFT PBE; values from VASP
! **Total magnetic moment**: 2.12 μB per formula unit
! **Space group**: F-43m
! **Formation energy from raw total energies**: 0.43 eV per atom
&SYSTEM
  ibrav = 0, nat = 3, ntyp = 3
/
ATOMIC_SPECIES
As 74.92 As.upf
Fe 55.84 Fe.upf
Si 28.09 Si.upf
ATOMIC_POSITIONS crystal
As 0.000 0.000 0.000
Fe 0.500 0.500 0.500
Si 0.750 0.750 0.750
CELL_PARAMETERS angstrom
-3.590 -1.905 -0.539
-1.099 -3.050 2.509
-3.040 0.556 2.694

Record 2
! FeSi2As, relaxed, DFT PBE; values from VASP
! **Total magnetic moment**: 1.68 μB per formula unit
! **Space group**: Cmmm
! **Formation energy from raw total energies**: 0.38 eV per atom
&SYSTEM
  ibrav = 0, nat = 4, ntyp = 3
/
ATOMIC_SPECIES
Si 28.09 Si.upf
As 74.92 As.upf
Fe 55.84 Fe.upf
ATOMIC_POSITIONS crystal
Si 0.000 0.000 0.000
As 0.500 0.000 0.500
Si 0.500 0.500 0.000
Fe 0.000 0.500 0.500
CELL_PARAMETERS angstrom
-3.565 -2.453 0.742
3.529 -2.604 -0.191
0.405 0.327 3.031

Record 3
! FeSi3As, relaxed, DFT PBE; values from VASP
! **Total magnetic moment**: 0.00 μB per formula unit
! **Space group**: Pm-3m
! **Formation energy from raw total energies**: 0.33 eV per atom
&SYSTEM
  ibrav = 0, nat = 5, ntyp = 3
/
ATOMIC_SPECIES
As 74.92 As.upf
Si 28.09 Si.upf
Fe 55.84 Fe.upf
ATOMIC_POSITIONS crystal
As 0.500 0.500 0.500
Si 0.500 0.000 0.000
Si 0.000 0.500 0.000
Fe 0.000 0.000 0.000
Si 0.000 0.000 0.500
CELL_PARAMETERS angstrom
4.375 0.000 0.000
0.000 4.375 0.000
0.000 0.000 4.375

Record 4
! FeSi2As, relaxed, DFT PBE; values from VASP
! **Total magnetic moment**: 0.37 μB per formula unit
! **Space group**: Fm-3m
! **Formation energy from raw total energies**: 0.49 eV per atom
&SYSTEM
  ibrav = 0, nat = 4, ntyp = 3
/
ATOMIC_SPECIES
Si 28.09 Si.upf
Fe 55.84 Fe.upf
As 74.92 As.upf
ATOMIC_POSITIONS crystal
Si 0.750 0.750 0.750
Fe 0.000 0.000 0.000
Si 0.250 0.250 0.250
As 0.500 0.500 0.500
CELL_PARAMETERS angstrom
3.711 1.443 1.554
0.021 3.035 3.009
1.162 -0.963 3.999

no.,V (Å³/f.u.),uncorrected energy (eV per atom)
1,48.7,-5.752
2,56.0,-5.608
3,83.7,-5.541
4,55.2,-5.499